A plane-wave DFT calculation with PBE-GGA was carried out for a relaxed structure of Ce2Zn2Os.

Properties
Magnetization in μB per formula unit: 0.88
ΔH_f (0 K) in meV/atom: -226
Mass density in g cm⁻³: 9.6
Fermi-level density of states in states/eV/cell: 8.291

Lattice parameters (Å, degrees): 5.7261 5.7261 5.7261 131.44 130.82 71.61
Closest atoms and distances in Å follow each position.
Positions (direct):
Ce 0.1846 0.1846 0.0000  2 Os 2.91, 6 Zn 3.16
Ce 0.8154 0.8154 0.0000  2 Os 2.91, 6 Zn 3.16
Zn 0.5000 0.2488 0.7488  2 Zn 2.34-2.37
Zn 0.5000 0.7512 0.2512  2 Zn 2.34-2.37
Os 0.0000 0.5000 0.5000  4 Zn 2.66, 4 Ce 2.91